[1]
DFT (PBE-GGA) results for a relaxed structure of Ba4CaTa3O12.

Calculated values
The formation energy (no corrections) is -2.952 eV per atom. The density of states at the Fermi level comes out at 5.1 states/eV per cell. The density is 7.42 g/cm3.

Cell and atoms, written as extended XYZ:
```
20
Lattice="-4.2001 4.2001 4.2001 4.2001 -4.2001 4.2001 4.2001 4.2001 -4.2001" Properties=species:S:1:pos:R:3 pbc="T T T"
Ba 2.1000 2.1000 -2.1000
Ba 2.1000 -2.1000 2.1000
Ba -2.1000 2.1000 2.1000
Ba 2.1000 2.1000 2.1000
Ca 0.0000 0.0000 0.0000
Ta 4.2001 0.0000 0.0000
Ta 0.0000 4.2001 0.0000
Ta 0.0000 0.0000 4.2001
O 2.2550 0.0000 0.0000
O 6.1452 0.0000 0.0000
O 4.2001 2.1000 0.0000
O 4.2001 0.0000 2.1000
O 0.0000 2.2550 0.0000
O 0.0000 0.0000 2.2550
O 2.1000 4.2001 0.0000
O 2.1000 0.0000 4.2001
O 0.0000 6.1452 0.0000
O 0.0000 0.0000 6.1452
O 0.0000 4.2001 2.1000
O 0.0000 2.1000 4.2001
```


[2]
DFT (PBE-GGA) results for a relaxed structure of Ba2CaTaO.

Calculated values
The formation energy (no corrections) is -0.487 eV per atom. The density of states at the Fermi level comes out at 5.2 states/eV per cell. The density is 5.45 g/cm3.

Cell and atoms, written as extended XYZ:
```
5
Lattice="6.1891 0.0000 0.0000 0.0000 6.1891 0.0000 0.0000 0.0000 4.0686" Properties=species:S:1:pos:R:3 pbc="T T T"
Ba 0.0000 3.0946 0.0000
Ba 3.0946 0.0000 0.0000
Ca 0.0000 0.0000 2.0343
Ta 3.0946 3.0946 2.0343
O 3.0946 3.0946 0.0000
```


- What is the formula in the second record?
  Ba2CaTaO


- Look up the formation energy (no corrections) of the first one.
  -2.952 eV per atom